KFeB4 PBE optimized geometry; total DFT energy (no corrections) = -32.63 eV per cell; mass density = 3.7 g/cm3
1.0
5.1761 0.9609 0.8797
0.9670 -1.3330 5.0771
-1.0798 -1.0902 -5.1122
B Fe K
4 1 1
Direct
0.6404 0.2838 0.3567
0.0729 0.7162 0.3567
0.9271 0.2838 0.6433
0.3596 0.7162 0.6433
0.0000 0.0000 0.0000
0.5000 0.5000 0.0000